No. 1
ZrNbGa | GGA-PBE | optimized geometry

Structure (POSCAR):
```
ZrNbGa
1.0
3.879 0.000 0.000
0.000 3.879 0.000
0.000 0.000 7.622
Ga Nb Zr
2 2 2
direct
0.500 0.000 0.768
0.000 0.500 0.232
0.500 0.500 0.500
0.000 0.000 0.500
0.500 0.000 0.142
0.000 0.500 0.858
```

Results
- symmetry = P4/nmm (129)


No. 2
ZrNbGa | GGA-PBE | optimized geometry

Structure (POSCAR):
```
ZrNbGa
1.0
-0.642 -1.093 4.415
-4.156 0.462 1.900
-2.444 -3.727 1.111
Zr Ga Nb
1 1 1
direct
0.750 0.750 0.750
0.250 0.250 0.250
0.000 0.000 0.000
```

Results
- symmetry = F-43m (216)


Number 1: energy above the most stable polymorph in this dataset 0.00 eV/f.u., total moment 0.01 μB per formula unit. Number 2: energy above the most stable polymorph in this dataset 3.33 eV/f.u., total moment 1.86 μB per formula unit.